Model w:
The following is a DFT calculation (GGA-PBE) of Np2SnRu after structural relaxation.

Calculated values
Spin magnetization in μB/f.u.: 7.2
Calculated volume in Å³ per cell: 86

Structure (extended XYZ):
```
4
Lattice="3.843 0.000 0.000 0.000 3.843 0.000 0.000 0.000 5.838" Properties=species:S:1:pos:R:3 pbc="T T T"
Np 0.000 0.000 1.308
Np 0.000 0.000 4.530
Sn 1.922 1.922 2.919
Ru 1.922 1.922 0.000
```

=====

Model x:
The following is a DFT calculation (GGA-PBE) of Np2SnRu after structural relaxation.

Calculated values
Spin magnetization in μB/f.u.: 6.2
Calculated volume in Å³ per cell: 82

Structure (extended XYZ):
```
4
Lattice="1.528 0.882 10.177 -1.528 0.882 10.177 0.000 -1.765 10.177" Properties=species:S:1:pos:R:3 pbc="T T T"
Np 0.000 0.000 7.350
Np 0.000 0.000 23.181
Sn 0.000 0.000 0.000
Ru 0.000 0.000 15.265
```

=====

On energetic grounds, model w is preferred over the next structure by 15.0 kJ/mol of atoms.

=====

Model w:
The following is a DFT calculation (GGA-PBE) of NpTa2Ru after structural relaxation.

Calculated values
Spin magnetization in μB/f.u.: 3.2
Calculated volume in Å³ per cell: 71

Structure (extended XYZ):
```
4
Lattice="0.000 3.287 3.287 3.287 0.000 3.287 3.287 3.287 0.000" Properties=species:S:1:pos:R:3 pbc="T T T"
Np 0.000 0.000 0.000
Ta 1.643 1.643 1.643
Ta 4.930 4.930 4.930
Ru 3.287 3.287 3.287
```

=====

Model x:
The following is a DFT calculation (GGA-PBE) of NpTa2Ru after structural relaxation.

Calculated values
Spin magnetization in μB/f.u.: 2.6
Calculated volume in Å³ per cell: 73

Structure (extended XYZ):
```
4
Lattice="3.059 0.000 0.000 0.000 3.059 0.000 0.000 0.000 7.832" Properties=species:S:1:pos:R:3 pbc="T T T"
Np 0.000 0.000 0.000
Ta 1.529 1.529 2.238
Ta 1.529 1.529 5.594
Ru 0.000 0.000 3.916
```

=====

On energetic grounds, model x is preferred over the next structure by 21.3 kJ/mol of atoms.

=====

Model w:
The following is a DFT calculation (GGA-PBE) of NpTc2Ru after structural relaxation.

Calculated values
Spin magnetization in μB/f.u.: 2.3
Calculated volume in Å³ per cell: 64

Structure (extended XYZ):
```
4
Lattice="1.394 0.805 9.579 -1.394 0.805 9.579 0.000 -1.609 9.579" Properties=species:S:1:pos:R:3 pbc="T T T"
Np 0.000 0.000 0.000
Tc 0.000 0.000 2.631
Tc 0.000 0.000 26.107
Ru 0.000 0.000 14.369
```

=====

Model x:
The following is a DFT calculation (GGA-PBE) of NpTc2Ru after structural relaxation.

Calculated values
Spin magnetization in μB/f.u.: 0.5
Calculated volume in Å³ per cell: 64

Structure (extended XYZ):
```
4
Lattice="3.991 0.000 0.000 0.000 3.991 0.000 0.000 0.000 4.011" Properties=species:S:1:pos:R:3 pbc="T T T"
Np 0.000 0.000 0.000
Tc 0.000 1.996 2.005
Tc 1.996 0.000 2.005
Ru 1.996 1.996 0.000
```

=====

On energetic grounds, model x is preferred over the next structure by 38.7 kJ/mol of atoms.

=====

Model w:
The following is a DFT calculation (GGA-PBE) of NpV2Ru after structural relaxation.

Calculated values
Spin magnetization in μB/f.u.: 2.5
Calculated volume in Å³ per cell: 61

Structure (extended XYZ):
```
4
Lattice="0.000 3.124 3.124 3.124 0.000 3.124 3.124 3.124 0.000" Properties=species:S:1:pos:R:3 pbc="T T T"
Np 0.000 0.000 0.000
V 1.562 1.562 1.562
V 4.686 4.686 4.686
Ru 3.124 3.124 3.124
```

=====

Model x:
The following is a DFT calculation (GGA-PBE) of NpV2Ru after structural relaxation.

Calculated values
Spin magnetization in μB/f.u.: 3.3
Calculated volume in Å³ per cell: 65

Structure (extended XYZ):
```
4
Lattice="3.749 0.000 0.000 0.000 3.749 0.000 0.000 0.000 4.594" Properties=species:S:1:pos:R:3 pbc="T T T"
Np 0.000 0.000 0.000
V 0.000 1.875 2.297
V 1.875 0.000 2.297
Ru 1.875 1.875 0.000
```

=====

On energetic grounds, model x is preferred over the next structure by 1.2 kJ/mol of atoms.

=====

Model w:
The following is a DFT calculation (GGA-PBE) of Zr2NpRu after structural relaxation.

Calculated values
Spin magnetization in μB/f.u.: 4.0
Calculated volume in Å³ per cell: 81

Structure (extended XYZ):
```
4
Lattice="3.230 0.000 0.000 0.000 3.230 0.000 0.000 0.000 7.796" Properties=species:S:1:pos:R:3 pbc="T T T"
Zr 0.000 0.000 1.663
Zr 0.000 0.000 6.133
Np 1.615 1.615 3.898
Ru 1.615 1.615 0.000
```

=====

Model x:
The following is a DFT calculation (GGA-PBE) of Zr2NpRu after structural relaxation.

Calculated values
Spin magnetization in μB/f.u.: 4.0
Calculated volume in Å³ per cell: 79

Structure (extended XYZ):
```
4
Lattice="4.953 0.000 0.000 0.000 4.953 0.000 0.000 0.000 3.209" Properties=species:S:1:pos:R:3 pbc="T T T"
Zr 0.000 2.476 0.000
Zr 2.476 0.000 0.000
Np 0.000 0.000 1.604
Ru 2.476 2.476 1.604
```

=====

Model y:
The following is a DFT calculation (GGA-PBE) of Zr2NpRu after structural relaxation.

Calculated values
Spin magnetization in μB/f.u.: 3.1
Calculated volume in Å³ per cell: 78

Structure (extended XYZ):
```
4
Lattice="0.000 3.397 3.397 3.397 0.000 3.397 3.397 3.397 0.000" Properties=species:S:1:pos:R:3 pbc="T T T"
Zr 1.698 1.698 1.698
Zr 5.095 5.095 5.095
Np 0.000 0.000 0.000
Ru 3.397 3.397 3.397
```

=====

On energetic grounds, model w is preferred over the next structure by 18.2 kJ/mol of atoms.

=====

Model w:
The following is a DFT calculation (GGA-PBE) of Np3S4 after structural relaxation.

Calculated values
Spin magnetization in μB/f.u.: 13.0
Calculated volume in Å³ per cell: 287

Structure (extended XYZ):
```
14
Lattice="-4.155 4.155 4.155 4.155 -4.155 4.155 4.155 4.155 -4.155" Properties=species:S:1:pos:R:3 pbc="T T T"
Np 4.155 -2.078 3.116
Np 3.116 4.155 -2.078
Np 4.155 2.078 1.039
Np 2.078 1.039 4.155
Np 1.039 4.155 2.078
Np -2.078 3.116 4.155
S 2.696 1.459 -1.459
S 4.773 -0.618 0.618
S 1.459 -1.459 2.696
S 1.459 1.459 1.459
S -1.459 2.696 1.459
S 0.618 4.773 -0.618
S -0.618 0.618 4.773
S 3.537 3.537 3.537
```

=====

Model x:
The following is a DFT calculation (GGA-PBE) of Np3S4 after structural relaxation.

Calculated values
Spin magnetization in μB/f.u.: 13.0
Calculated volume in Å³ per cell: 162

Structure (extended XYZ):
```
7
Lattice="2.122 1.225 10.411 -2.122 1.225 10.411 0.000 -2.450 10.411" Properties=species:S:1:pos:R:3 pbc="T T T"
Np 0.000 0.000 0.000
Np 0.000 0.000 3.267
Np 0.000 0.000 27.965
S 0.000 0.000 6.171
S 0.000 0.000 11.921
S 0.000 0.000 19.311
S 0.000 0.000 25.061
```

=====

On energetic grounds, model w is preferred over the next structure by 18.6 kJ/mol of atoms.